AcLaRh: relaxed, PBE-GGA.

Cell and atoms, written as extended XYZ:
```
3
Lattice="6.7788 0.0000 0.0000 0.0000 4.2716 0.0000 0.0000 -2.1358 3.6993" Properties=species:S:1:pos:R:3 pbc="T T T"
Ac 5.1766 2.1358 1.2331
La 1.5365 0.0000 2.4662
Rh 0.0658 0.0000 0.0000
```

Calculated values
The value obtained for the energy of formation is -550.6 meV/atom. The value obtained for the total energy is -6.013 eV/atom. Its crystal system is trigonal. Its symmetry is P3m1.



Ac2La3Rh3: relaxed, PBE-GGA.

Cell and atoms, written as extended XYZ:
```
16
Lattice="-5.6559 1.4974 0.5342 1.4548 -3.8934 -5.9914 -2.3891 -11.7184 7.5527" Properties=species:S:1:pos:R:3 pbc="T T T"
Rh -4.8600 -6.6476 -0.5155
La -4.6536 -6.9354 2.4767
La -0.4190 -1.7038 0.3398
Ac -1.0673 -2.8726 -3.2484
Rh -1.1678 -4.2372 -0.4875
La -4.0953 -3.7264 -0.6074
Rh -2.6091 -11.8285 5.5319
Ac -5.4584 -11.0708 5.5482
Ac -5.5866 -9.4882 -0.2459
Rh -5.3899 -9.7938 2.6939
Rh -1.7757 -7.5569 2.3820
Rh -3.9318 -2.1837 -3.2006
La -6.1339 -12.3633 2.0193
La -1.0666 -4.8289 2.2434
Ac -1.9755 -7.2185 -0.6819
La -2.4870 -10.3844 2.7769
```

Calculated values
The value obtained for the energy of formation is -545.8 meV/atom. The value obtained for the total energy is -6.177 eV/atom. Its crystal system is monoclinic. Its symmetry is Cm.



AcLa2Rh9: relaxed, PBE-GGA.

Cell and atoms, written as extended XYZ:
```
12
Lattice="-4.9311 1.8550 -1.1051 -3.2984 -2.8428 -3.1650 -5.9557 -4.5930 5.7544" Properties=species:S:1:pos:R:3 pbc="T T T"
Rh -6.8192 -4.9633 2.4089
Rh -6.5523 -2.9588 -1.9512
La -4.6158 -2.8146 2.7606
Rh -4.9085 -1.5420 -0.3739
Rh -11.4345 -5.2414 2.8906
Rh -9.2767 -4.0388 1.8582
Rh -7.3660 -0.6175 -0.9247
Rh -7.6329 -2.6221 3.4355
La -9.5694 -2.7662 -1.2763
Rh -7.0926 -2.7904 0.7421
Rh -2.7508 -0.3394 -1.4063
Ac 0.0000 0.0000 0.0000
```

Calculated values
The value obtained for the energy of formation is -509.4 meV/atom. The value obtained for the total energy is -7.187 eV/atom. Its crystal system is trigonal. Its symmetry is R-3m.



AcLa4Rh2: relaxed, PBE-GGA.

Cell and atoms, written as extended XYZ:
```
14
Lattice="-6.8083 -1.0725 1.5950 -2.4095 2.2276 -8.7869 1.3946 -7.2533 1.0758" Properties=species:S:1:pos:R:3 pbc="T T T"
Ac -3.5640 1.1965 -6.5642
La -5.9212 -4.6283 -4.8535
La -4.6626 -3.1690 1.5001
La -3.1606 -2.9293 -7.6162
Rh -2.4091 -3.3282 -4.6769
La -7.7641 -1.8901 -3.1311
Ac -4.2591 -7.2947 0.4480
La -3.4213 -4.7378 -2.1973
Rh -6.6612 0.4395 -4.6046
La -1.9020 -1.4699 -1.2626
Rh -1.1620 -6.5377 -1.5116
La -0.0591 -4.2082 -2.9850
Rh -5.4140 -2.7700 -1.4393
La -4.4019 -1.3604 -3.9188
```

Calculated values
The value obtained for the energy of formation is -448.1 meV/atom. The value obtained for the total energy is -5.951 eV/atom. Its crystal system is monoclinic. Its symmetry is P2_1/m.



Ac2LaRh2: relaxed, PBE-GGA.

Cell and atoms, written as extended XYZ:
```
10
Lattice="4.3965 0.0000 0.0000 0.0000 6.1870 0.3186 0.0000 -1.6680 11.1348" Properties=species:S:1:pos:R:3 pbc="T T T"
Rh 1.0991 4.1577 9.4766
Rh 3.2974 1.2517 6.1221
Ac 1.0991 1.2163 8.0898
Ac 3.2974 4.3429 7.2180
Rh 1.0991 3.2673 5.3312
Rh 3.2974 0.3613 1.9767
La 3.2974 3.1789 10.9535
Ac 3.2974 3.3026 3.3636
Ac 1.0991 0.1761 4.2354
La 1.0991 1.3400 0.4999
```

Calculated values
The value obtained for the energy of formation is -600.9 meV/atom. The value obtained for the total energy is -6.170 eV/atom. Its crystal system is monoclinic. Its symmetry is P2_1/m.



Ac2LaRh9: relaxed, PBE-GGA.

Cell and atoms, written as extended XYZ:
```
12
Lattice="-2.5066 2.7412 3.9208 1.9459 -0.1047 5.0371 4.9083 8.1377 1.1685" Properties=species:S:1:pos:R:3 pbc="T T T"
Rh 4.6582 6.3580 4.1237
Rh 1.9027 3.0016 6.5577
Rh -0.3105 4.4162 6.0028
Rh 2.1738 5.3871 5.0632
Rh -0.1736 0.8978 2.9812
Rh 3.4122 7.7206 6.0726
Ac 1.5450 5.6364 8.2068
Rh 2.4450 7.7726 3.5688
Rh 0.9354 3.0537 4.0539
Rh 4.5212 9.8764 7.1452
Ac 2.8026 5.1378 1.9196
La 0.0000 0.0000 0.0000
```

Calculated values
The value obtained for the energy of formation is -464.3 meV/atom. The value obtained for the total energy is -7.073 eV/atom. Its crystal system is trigonal. Its symmetry is R-3m.